No. 1
# PBE Ni2Pd3, relaxed
data_Ni2Pd3
_chemical_formula_sum 'Ni4 Pd6'
_cell_length_a 7.0275
_cell_length_b 7.0275
_cell_length_c 7.0275
_cell_angle_alpha 42.99
_cell_angle_beta 42.99
_cell_angle_gamma 42.99
_symmetry_space_group_name_H-M 'P 1'
_symmetry_Int_Tables_number 1
loop_
_symmetry_equiv_pos_as_xyz
'x,y,z'
loop_
_atom_site_label
_atom_site_fract_x
_atom_site_fract_y
_atom_site_fract_z
Ni1 0.0000 0.0000 0.0000
Ni2 0.1523 0.1523 0.1523
Ni3 0.5000 0.5000 0.5000
Ni4 0.8477 0.8477 0.8477
Pd1 0.0628 0.6642 0.4756
Pd2 0.3358 0.5244 0.9372
Pd3 0.4756 0.0628 0.6642
Pd4 0.5244 0.9372 0.3358
Pd5 0.6642 0.4756 0.0628
Pd6 0.9372 0.3358 0.5244
# DOS(E_F), states/eV per atom: 1.38
# Magnetization, μB per atom: 0.4936
# Total DFT energy (no corrections), eV/atom: -5.177
# Calculated formation energy, eV per formula unit: 1.25
# Offset from the most stable computed form, meV/atom: 208.7

---

No. 2
# PBE Li3Ac2Hg, relaxed
data_Li3Ac2Hg
_chemical_formula_sum 'Li3 Ac2 Hg1'
_cell_length_a 3.8258
_cell_length_b 5.1241
_cell_length_c 8.9644
_cell_angle_alpha 90.00
_cell_angle_beta 90.00
_cell_angle_gamma 90.00
_symmetry_space_group_name_H-M 'P 1'
_symmetry_Int_Tables_number 1
loop_
_symmetry_equiv_pos_as_xyz
'x,y,z'
loop_
_atom_site_label
_atom_site_fract_x
_atom_site_fract_y
_atom_site_fract_z
Li1 0.0000 0.0000 0.0000
Li2 0.0000 0.0000 0.3359
Li3 0.0000 0.5000 0.8300
Ac1 0.5000 0.0000 0.6508
Ac2 0.5000 0.5000 0.1823
Hg1 0.0000 0.5000 0.4993
# DOS(E_F), states/eV per atom: 0.78
# Magnetization, μB per atom: 0.0000
# Total DFT energy (no corrections), eV/atom: -2.486
# Calculated formation energy, eV per formula unit: -0.66